A relaxed structure of LaRe2Os, computed with PBE.

Magnetic moment: 0.00 μB/cell
Fermi-level density of states: 1.041 states/eV/atom
Energy of formation from the pure elements: 0.561 eV/atom
Offset from the most stable computed form: 21.2 kJ/mol of atoms

a = 2.883 Å, b = 4.939 Å, c = 10.370 Å
α = 90.00°, β = 90.00°, γ = 90.00°
Space group Immm (No. 71)
Inequivalent atoms, fractional coordinates:
1 La 0.000 0.000 0.000 [2 per cell]
2 Re 0.000 0.500 0.217 [4 per cell]
3 Os 0.000 0.000 0.500 [2 per cell]



A relaxed structure of LaReOs, computed with PBE.

Magnetic moment: 0.00 μB/cell
Fermi-level density of states: 0.685 states/eV/atom
Energy of formation from the pure elements: 0.587 eV/atom
Offset from the most stable computed form: 49.5 kJ/mol of atoms

a = 2.8883 Å, b = 2.8883 Å, c = 7.8043 Å
α = 90.00°, β = 90.00°, γ = 120.00°
Space group P3m1 (No. 156)
Inequivalent atoms, fractional coordinates:
1 La 0.0000 0.0000 0.0000 [1 per cell]
2 Re 0.3333 0.6667 0.6254 [1 per cell]
3 Os 0.6667 0.3333 0.3683 [1 per cell]



A relaxed structure of La2ReOs, computed with PBE.

Magnetic moment: 0.00 μB/cell
Fermi-level density of states: 1.415 states/eV/atom
Energy of formation from the pure elements: 0.546 eV/atom
Offset from the most stable computed form: 52.1 kJ/mol of atoms

a = 7.142 Å, b = 7.142 Å, c = 7.142 Å
α = 90.00°, β = 90.00°, γ = 90.00°
Space group Fm-3m (No. 225)
Inequivalent atoms, fractional coordinates:
1 La 0.250 0.250 0.250 [8 per cell]
2 Re 0.000 0.000 0.000 [4 per cell]
3 Os 0.000 0.000 0.500 [4 per cell]



A relaxed structure of LaReOs, computed with PBE.

Magnetic moment: 0.00 μB/cell
Fermi-level density of states: 0.555 states/eV/atom
Energy of formation from the pure elements: 0.074 eV/atom
Offset from the most stable computed form: 0.0 kJ/mol of atoms

a = 4.1556 Å, b = 4.1556 Å, c = 4.7749 Å
α = 90.00°, β = 90.00°, γ = 120.00°
Space group P3m1 (No. 156)
Inequivalent atoms, fractional coordinates:
1 La 0.0000 0.0000 0.0000 [1 per cell]
2 Re 0.3333 0.6667 0.4615 [1 per cell]
3 Os 0.6667 0.3333 0.5393 [1 per cell]



A relaxed structure of LaReOs, computed with PBE.

Magnetic moment: 0.02 μB/cell
Fermi-level density of states: 1.604 states/eV/atom
Energy of formation from the pure elements: 1.850 eV/atom
Offset from the most stable computed form: 171.4 kJ/mol of atoms

a = 6.321 Å, b = 6.321 Å, c = 6.321 Å
α = 90.00°, β = 90.00°, γ = 90.00°
Space group F-43m (No. 216)
Inequivalent atoms, fractional coordinates:
1 La 0.000 0.000 0.000 [4 per cell]
2 Re 0.250 0.250 0.250 [4 per cell]
3 Os 0.250 0.250 0.750 [4 per cell]



A relaxed structure of LaReOs, computed with PBE.

Magnetic moment: 0.00 μB/cell
Fermi-level density of states: 0.761 states/eV/atom
Energy of formation from the pure elements: 0.245 eV/atom
Offset from the most stable computed form: 16.6 kJ/mol of atoms

a = 4.287 Å, b = 13.968 Å, c = 4.542 Å
α = 90.00°, β = 90.00°, γ = 90.00°
Space group Cmcm (No. 63)
Inequivalent atoms, fractional coordinates:
1 La 0.000 0.076 0.250 [4 per cell]
2 Re 0.000 0.252 0.750 [4 per cell]
3 Os 0.000 0.336 0.250 [4 per cell]



A relaxed structure of LaReOs2, computed with PBE.

Magnetic moment: 0.00 μB/cell
Fermi-level density of states: 1.265 states/eV/atom
Energy of formation from the pure elements: 0.672 eV/atom
Offset from the most stable computed form: 40.1 kJ/mol of atoms

a = 6.071 Å, b = 8.002 Å, c = 2.900 Å
α = 90.00°, β = 90.14°, γ = 90.00°
Space group C2/m (No. 12)
Inequivalent atoms, fractional coordinates:
1 La 0.000 0.000 0.000 [2 per cell]
2 Re 0.000 0.500 0.000 [2 per cell]
3 Os 0.250 0.250 0.500 [4 per cell]



A relaxed structure of LaRe2Os2, computed with PBE.

Magnetic moment: 0.11 μB/cell
Fermi-level density of states: 1.226 states/eV/atom
Energy of formation from the pure elements: 0.196 eV/atom
Offset from the most stable computed form: 12.5 kJ/mol of atoms

a = 7.925 Å, b = 7.925 Å, c = 2.793 Å
α = 90.00°, β = 90.00°, γ = 90.00°
Space group P4/mbm (No. 127)
Inequivalent atoms, fractional coordinates:
1 La 0.000 0.000 0.000 [2 per cell]
2 Re 0.117 0.383 0.000 [4 per cell]
3 Os 0.169 0.669 0.500 [4 per cell]



A relaxed structure of LaRe2Os, computed with PBE.

Magnetic moment: 0.00 μB/cell
Fermi-level density of states: 1.295 states/eV/atom
Energy of formation from the pure elements: 0.878 eV/atom
Offset from the most stable computed form: 51.7 kJ/mol of atoms

a = 5.951 Å, b = 8.657 Å, c = 2.746 Å
α = 90.00°, β = 90.00°, γ = 90.00°
Space group Cmmm (No. 65)
Inequivalent atoms, fractional coordinates:
1 La 0.000 0.000 0.000 [2 per cell]
2 Re 0.250 0.250 0.500 [4 per cell]
3 Os 0.000 0.500 0.000 [2 per cell]



A relaxed structure of LaReOs2, computed with PBE.

Magnetic moment: 0.01 μB/cell
Fermi-level density of states: 1.490 states/eV/atom
Energy of formation from the pure elements: 0.709 eV/atom
Offset from the most stable computed form: 43.7 kJ/mol of atoms

a = 4.877 Å, b = 4.877 Å, c = 3.014 Å
α = 90.00°, β = 90.00°, γ = 90.00°
Space group P4/mmm (No. 123)
Inequivalent atoms, fractional coordinates:
1 La 0.000 0.000 0.000 [1 per cell]
2 Re 0.500 0.500 0.000 [1 per cell]
3 Os 0.000 0.500 0.500 [2 per cell]



A relaxed structure of LaRe2Os, computed with PBE.

Magnetic moment: 0.48 μB/cell
Fermi-level density of states: 0.944 states/eV/atom
Energy of formation from the pure elements: 0.596 eV/atom
Offset from the most stable computed form: 24.5 kJ/mol of atoms

a = 2.8557 Å, b = 2.8557 Å, c = 30.0956 Å
α = 90.00°, β = 90.00°, γ = 120.00°
Space group R-3m (No. 166, hexagonal axes)
Inequivalent atoms, fractional coordinates:
1 La 0.0000 0.0000 0.0000 [3 per cell]
2 Re 0.0000 0.0000 0.2372 [6 per cell]
3 Os 0.0000 0.0000 0.5000 [3 per cell]



A relaxed structure of LaRe2Os, computed with PBE.

Magnetic moment: 0.00 μB/cell
Fermi-level density of states: 1.157 states/eV/atom
Energy of formation from the pure elements: 0.507 eV/atom
Offset from the most stable computed form: 15.9 kJ/mol of atoms

a = 10.124 Å, b = 3.003 Å, c = 5.208 Å
α = 90.00°, β = 104.62°, γ = 90.00°
Space group C2/m (No. 12)
Inequivalent atoms, fractional coordinates:
1 La 0.000 0.000 0.000 [2 per cell]
2 Re 0.220 0.000 0.675 [4 per cell]
3 Os 0.000 0.500 0.500 [2 per cell]



A relaxed structure of LaRe3Os, computed with PBE.

Magnetic moment: 0.00 μB/cell
Fermi-level density of states: 1.571 states/eV/atom
Energy of formation from the pure elements: 3.388 eV/atom
Offset from the most stable computed form: 199.3 kJ/mol of atoms

a = 4.676 Å, b = 4.676 Å, c = 4.676 Å
α = 90.00°, β = 90.00°, γ = 90.00°
Space group Pm-3m (No. 221)
Inequivalent atoms, fractional coordinates:
1 La 0.000 0.000 0.000 [1 per cell]
2 Re 0.000 0.000 0.500 [3 per cell]
3 Os 0.500 0.500 0.500 [1 per cell]



A relaxed structure of La2ReOs, computed with PBE.

Magnetic moment: 0.00 μB/cell
Fermi-level density of states: 1.134 states/eV/atom
Energy of formation from the pure elements: 0.198 eV/atom
Offset from the most stable computed form: 18.5 kJ/mol of atoms

a = 3.121 Å, b = 3.121 Å, c = 9.626 Å
α = 90.00°, β = 90.00°, γ = 90.00°
Space group P4mm (No. 99)
Inequivalent atoms, fractional coordinates:
1 La 0.000 0.000 0.000 [1 per cell]
2 La 0.500 0.500 0.376 [1 per cell]
3 Re 0.500 0.500 0.761 [1 per cell]
4 Os 0.000 0.000 0.616 [1 per cell]



A relaxed structure of La2ReOs2, computed with PBE.

Magnetic moment: 0.00 μB/cell
Fermi-level density of states: 1.077 states/eV/atom
Energy of formation from the pure elements: 0.132 eV/atom

a = 6.648 Å, b = 6.648 Å, c = 4.998 Å
α = 90.00°, β = 90.00°, γ = 90.00°
Space group P4/mbm (No. 127)
Inequivalent atoms, fractional coordinates:
1 La 0.182 0.318 0.000 [4 per cell]
2 Re 0.000 0.000 0.500 [2 per cell]
3 Os 0.135 0.635 0.500 [4 per cell]